First-principles (PBE) data for InHgB4 after structural relaxation, as listed in the Open Quantum Materials Database.

Lattice parameters (Å, degrees): 5.452 5.452 5.452 147.02 121.75 68.59
Sites, in units of the cell vectors:
In1 0.000 0.000 0.000
Hg1 0.500 0.500 0.000
B1 0.077 0.746 0.331
B2 0.414 0.746 0.669
B3 0.586 0.254 0.331
B4 0.923 0.254 0.669

Values from the calculation:
Calculated density ... 8.05 g/cm³
Symmetry ... No. 71
Final energy ... -4.30 eV per atom
Volume ... 74.0 Å³/f.u.

***

First-principles (PBE) data for InHgB4 after structural relaxation, as listed in the Open Quantum Materials Database.

Lattice parameters (Å, degrees): 3.078 3.078 9.389 90.00 90.00 120.00
Sites, in units of the cell vectors:
In1 0.000 0.000 0.000
Hg1 0.000 0.000 0.500
B1 0.333 0.667 0.212
B2 0.333 0.667 0.788
B3 0.667 0.333 0.212
B4 0.667 0.333 0.788

Values from the calculation:
Calculated density ... 7.73 g/cm³
Symmetry ... No. 191
Final energy ... -4.32 eV per atom
Volume ... 77.0 Å³/f.u.

***

First-principles (PBE) data for HgBIr2 after structural relaxation, as listed in the Open Quantum Materials Database.

Lattice parameters (Å, degrees): 4.376 4.376 4.376 60.00 60.00 60.00
Sites, in units of the cell vectors:
Hg1 0.000 0.000 0.000
B1 0.750 0.750 0.750
Ir1 0.250 0.250 0.250
Ir2 0.500 0.500 0.500

Values from the calculation:
Calculated density ... 16.69 g/cm³
Symmetry ... No. 216
Final energy ... -4.96 eV per atom
Volume ... 59.3 Å³/f.u.

***

First-principles (PBE) data for LaHgB4 after structural relaxation, as listed in the Open Quantum Materials Database.

Lattice parameters (Å, degrees): 5.486 5.486 5.486 145.91 120.17 70.68
Sites, in units of the cell vectors:
La1 0.000 0.000 0.000
Hg1 0.500 0.500 0.000
B1 0.054 0.738 0.316
B2 0.422 0.738 0.684
B3 0.578 0.262 0.316
B4 0.946 0.262 0.684

Values from the calculation:
Calculated density ... 8.07 g/cm³
Symmetry ... No. 71
Final energy ... -5.19 eV per atom
Volume ... 78.7 Å³/f.u.